Below is a relaxed structure of EuTm2Ag, with properties calculated at the PBE level.

```
EuTm2Ag
1.0
3.604 0.000 0.000
1.802 3.121 0.000
1.802 1.040 10.577
Eu Tm Ag
1 2 1
Direct
0.500 0.500 0.500 Eu
0.737 0.737 0.789 Tm
0.263 0.263 0.211 Tm
0.000 0.000 0.000 Ag
```

ΔE_f	0.0379	eV per atom
symmetry	No. 166
V	119	Å³/cell
magnetization	7.7	μB per formula unit
D(E_F)	5.20	states/eV per cell

=====

Below is a relaxed structure of EuTmAg2, with properties calculated at the PBE level.

```
EuTmAg2
1.0
-1.440 -0.776 -3.294
3.304 0.454 -1.551
1.494 -7.263 1.058
Eu Ag Tm
1 2 1
Direct
0.500 0.500 0.500 Eu
0.000 0.000 0.784 Ag
0.000 0.000 0.216 Ag
0.500 0.500 0.000 Tm
```

ΔE_f	-0.3095	eV per atom
symmetry	No. 123
V	101	Å³/cell
magnetization	7.3	μB per formula unit
D(E_F)	9.55	states/eV per cell

=====

Below is a relaxed structure of Eu2TmAg, with properties calculated at the PBE level.

```
Eu2TmAg
1.0
3.756 0.000 0.000
0.000 3.756 0.000
0.000 0.000 9.001
Eu Ag Tm
2 1 1
Direct
0.000 0.000 0.788 Eu
0.000 0.000 0.212 Eu
0.500 0.500 0.000 Ag
0.500 0.500 0.500 Tm
```

ΔE_f	-0.0556	eV per atom
symmetry	No. 123
V	127	Å³/cell
magnetization	15.2	μB per formula unit
D(E_F)	4.12	states/eV per cell

=====

Below is a relaxed structure of Eu2TmAg, with properties calculated at the PBE level.

```
Eu2TmAg
1.0
5.142 0.000 0.000
0.000 4.836 0.000
0.000 0.000 4.836
Ag Eu Tm
1 2 1
Direct
0.500 0.000 0.000 Ag
0.000 0.000 0.500 Eu
0.000 0.500 0.000 Eu
0.500 0.500 0.500 Tm
```

ΔE_f	0.0586	eV per atom
symmetry	No. 123
V	120	Å³/cell
magnetization	15.3	μB per formula unit
D(E_F)	5.35	states/eV per cell

=====

Below is a relaxed structure of EuTm2Ag, with properties calculated at the PBE level.

```
EuTm2Ag
1.0
3.613 0.000 0.000
0.000 3.613 0.000
0.000 0.000 8.929
Eu Tm Ag
1 2 1
Direct
0.500 0.500 0.500 Eu
0.000 0.000 0.804 Tm
0.000 0.000 0.196 Tm
0.500 0.500 0.000 Ag
```

ΔE_f	-0.0806	eV per atom
symmetry	No. 123
V	117	Å³/cell
magnetization	8.1	μB per formula unit
D(E_F)	4.33	states/eV per cell

=====

Below is a relaxed structure of EuTmAg, with properties calculated at the PBE level.

```
EuTmAg
1.0
3.673 0.000 0.000
0.000 3.673 0.000
-1.836 -1.836 6.483
Tm Eu Ag
1 1 1
Direct
0.300 0.300 0.601 Tm
0.018 0.018 0.036 Eu
0.682 0.682 0.363 Ag
```

ΔE_f	-0.1592	eV per atom
symmetry	No. 107
V	87	Å³/cell
magnetization	7.3	μB per formula unit
D(E_F)	1.94	states/eV per cell

=====

- Which of these has the highest D(E_F)?
  EuTmAg2

=====

- The highest ΔE_f belongs to which entry?
  number 4